HfFePbAu: relaxed, PBE.

a b c (Å): 4.6971 4.6971 4.6971
angles (deg): 60.00 60.00 60.00
Element x y z (fractional)
Hf (0.0000, 0.0000, 0.0000)
Fe (0.5000, 0.5000, 0.5000)
Pb (0.2500, 0.2500, 0.2500)
Au (0.7500, 0.7500, 0.7500)

Properties
Total energy ... -6.144 eV per atom
SG ... F-43m (216)
Crystal system ... cubic
Total moment ... 0.580 μB per atom
E above lowest polymorph ... 0.0259 eV/atom

PaInHg: relaxed, PBE.

a b c (Å): 4.9218 4.9218 4.9218
angles (deg): 60.00 60.00 60.00
Element x y z (fractional)
Pa (0.0000, 0.0000, 0.0000)
In (0.5000, 0.5000, 0.5000)
Hg (0.7500, 0.7500, 0.7500)

Properties
Total energy ... -3.910 eV per atom
SG ... F-43m (216)
Crystal system ... cubic
Total moment ... 0.401 μB per atom
E above lowest polymorph ... 0.0000 eV/atom

PrSmB: relaxed, PBE.

a b c (Å): 4.6719 4.6719 4.6719
angles (deg): 60.00 60.00 60.00
Element x y z (fractional)
Pr (0.0000, 0.0000, 0.0000)
Sm (0.5000, 0.5000, 0.5000)
B (0.2500, 0.2500, 0.2500)

Properties
Total energy ... -5.201 eV per atom
SG ... F-43m (216)
Crystal system ... cubic
Total moment ... 0.059 μB per atom
E above lowest polymorph ... 0.0000 eV/atom